1.
DFT (PBE) results for Dy2Tm6S3 after structural relaxation.

abc: 3.6800 3.6800 24.2324
angles: 85.65 85.65 60.00
Fractional coordinates of all 11 atoms:
1 Dy 0.4418 0.4418 0.6745
2 Dy 0.5582 0.5582 0.3255
3 Tm 0.0691 0.0691 0.7926
4 Tm 0.9309 0.9309 0.2074
5 Tm 0.1857 0.1857 0.4430
6 Tm 0.8143 0.8143 0.5570
7 Tm 0.3567 0.3567 0.9299
8 Tm 0.6433 0.6433 0.0701
9 S 0.0000 0.0000 0.0000
10 S 0.2877 0.2877 0.1368
11 S 0.7123 0.7123 0.8632

Computed properties:
The total moment is 0.000 μB per atom. The total energy is -59.59 eV for the cell shown.


2.
DFT (PBE) results for Rb5Bi2Br12 after structural relaxation.

abc: 8.3490 10.4782 11.2513
angles: 107.03 90.00 113.48
Last column: magnetic moment on the atom in μB.
Fractional coordinates of all 19 atoms:
1 Rb 0.2923 0.5845 0.6400  0.00
2 Rb 0.3084 0.6168 0.1642  0.00
3 Rb 0.0000 0.0000 0.5000  0.00
4 Rb 0.6916 0.3832 0.8358  0.00
5 Rb 0.7077 0.4155 0.3600  0.00
6 Bi 0.7491 0.0000 0.0000  0.00
7 Bi 0.2509 0.0000 0.0000  0.00
8 Br 0.0062 0.0124 0.1832  0.00
9 Br 0.1027 0.6882 0.9267  0.00
10 Br 0.5855 0.6882 0.9267  0.00
11 Br 0.1292 0.7110 0.4341  0.19
12 Br 0.5818 0.7110 0.4341  0.19
13 Br 0.4946 0.9891 0.8127  0.00
14 Br 0.5054 0.0109 0.1873  0.00
15 Br 0.8708 0.2890 0.5659  0.19
16 Br 0.4182 0.2890 0.5659  0.19
17 Br 0.8973 0.3118 0.0733  0.00
18 Br 0.4145 0.3118 0.0733  0.00
19 Br 0.9938 0.9876 0.8168  0.00

Computed properties:
The total moment is 0.057 μB per atom. The total energy is -55.35 eV for the cell shown.


3.
DFT (PBE) results for ZrCuCl2 after structural relaxation.

abc: 3.2678 3.2679 7.9610
angles: 90.00 90.00 89.96
Fractional coordinates of all 4 atoms:
1 Cu 0.0000 0.0000 0.5057
2 Zr 0.5000 0.5000 0.7066
3 Cl 0.0000 0.0000 0.9196
4 Cl 0.5000 0.5000 0.3681

Computed properties:
The total moment is 0.000 μB per atom. The total energy is -19.47 eV for the cell shown. The relative energy among the computed polymorphs comes out at 0.054 eV per atom.


4.
DFT (PBE) results for LaCd2Ga2 after structural relaxation.

abc: 8.5105 8.5105 3.2213
angles: 90.00 90.00 90.00
Last column: magnetic moment on the atom in μB.
Fractional coordinates of all 10 atoms:
1 Cd 0.1541 0.6541 0.5000  0.00
2 Cd 0.6541 0.8459 0.5000  0.00
3 Cd 0.8459 0.3459 0.5000  0.00
4 Cd 0.3459 0.1541 0.5000  0.00
5 Ga 0.3605 0.8605 0.0000  0.00
6 Ga 0.8605 0.6395 0.0000  0.00
7 Ga 0.6395 0.1395 0.0000  0.00
8 Ga 0.1395 0.3605 0.0000  0.00
9 La 0.0000 0.0000 0.0000  0.16
10 La 0.5000 0.5000 0.0000  0.16

Computed properties:
The total moment is 0.058 μB per atom. The calculation puts the formation energy at -193 meV/atom. The total energy is -27.55 eV for the cell shown.


5.
DFT (PBE) results for NdDy2S3 after structural relaxation.

abc: 3.9574 5.6047 6.8644
angles: 114.09 106.75 90.00
Fractional coordinates of all 6 atoms:
1 Nd 0.5000 0.5000 0.5000
2 Dy 0.8382 0.8382 0.1764
3 Dy 0.1618 0.1618 0.8236
4 S 0.8241 0.3241 0.1482
5 S 0.1759 0.6759 0.8518
6 S 0.5000 0.0000 0.5000

Computed properties:
The total moment is 0.000 μB per atom. The total energy is -38.34 eV for the cell shown.


6.
DFT (PBE) results for Th4OsPt3 after structural relaxation.

abc: 5.8969 5.8969 7.2422
angles: 114.02 114.02 90.00
Fractional coordinates of all 8 atoms:
1 Os 0.0000 0.0000 0.0000
2 Pt 0.5000 0.5000 0.0000
3 Pt 0.7500 0.2500 0.5000
4 Pt 0.2500 0.7500 0.5000
5 Th 0.0000 0.5000 0.0000
6 Th 0.5000 0.0000 0.0000
7 Th 0.2411 0.2411 0.4821
8 Th 0.7589 0.7589 0.5179

Computed properties:
The total moment is 0.000 μB per atom. The calculation puts the formation energy at -1004 meV/atom. The total energy is -67.06 eV for the cell shown.


7.
DFT (PBE) results for Pr5Sm3Sc after structural relaxation.

abc: 8.1139 8.1139 11.3762
angles: 73.65 73.65 89.32
Fractional coordinates of all 18 atoms:
1 Pr 0.9276 0.4083 0.3529
2 Pr 0.2545 0.7455 0.0000
3 Pr 0.6883 0.6883 0.1238
4 Pr 0.3995 0.3995 0.4254
5 Pr 0.6005 0.6005 0.5746
6 Pr 0.3117 0.3117 0.8762
7 Pr 0.4083 0.9276 0.3529
8 Pr 0.7455 0.2545 0.0000
9 Pr 0.0724 0.5917 0.6471
10 Pr 0.5917 0.0724 0.6471
11 Sm 0.6030 0.6030 0.8487
12 Sm 0.8541 0.8541 0.3129
13 Sm 0.0000 0.0000 0.0000
14 Sm 0.0000 0.0000 0.5000
15 Sm 0.3970 0.3970 0.1513
16 Sm 0.1459 0.1459 0.6871
17 Sc 0.8662 0.8662 0.8223
18 Sc 0.1338 0.1338 0.1777

Computed properties:
The total moment is 0.000 μB per atom. The calculation puts the formation energy at 525 meV/atom. The total energy is -79.33 eV for the cell shown.


What did the third record say?
DFT (PBE) results for ZrCuCl2 after structural relaxation.

abc: 3.2678 3.2679 7.9610
angles: 90.00 90.00 89.96
Fractional coordinates of all 4 atoms:
1 Cu 0.0000 0.0000 0.5057
2 Zr 0.5000 0.5000 0.7066
3 Cl 0.0000 0.0000 0.9196
4 Cl 0.5000 0.5000 0.3681

Computed properties:
The total moment is 0.000 μB per atom. The total energy is -19.47 eV for the cell shown. The relative energy among the computed polymorphs comes out at 0.054 eV per atom.


- Among the records above, which one has the highest total moment?
  LaCd2Ga2